Below is crystalline SnPdPtAu at its relaxed geometry, with properties calculated at the GGA-PBE level.

Cell: 4.2625 4.2625 7.6593 Å, 90.00 90.00 90.00°
Space group I-4m2 (No. 119)
Asymmetric unit:
Sn1 0.0000 0.0000 0.0000
Pd1 0.0000 0.5000 0.2500
Pt1 0.0000 0.5000 0.7500
Au1 0.0000 0.0000 0.5000

Below is crystalline SrMg5Rh2 at its relaxed geometry, with properties calculated at the GGA-PBE level.

Cell: 4.3284 8.0964 10.2804 Å, 90.00 90.00 90.00°
Space group Immm (No. 71)
Asymmetric unit:
Sr1 0.0000 0.0000 0.0000
Mg1 0.0000 0.1824 0.3300
Mg2 0.0000 0.5000 0.0000
Rh1 0.0000 0.5000 0.2504

Below is crystalline CaLa2ThAs4 at its relaxed geometry, with properties calculated at the GGA-PBE level.

Cell: 7.4667 4.3402 7.4824 Å, 90.00 109.29 90.00°
Space group P2/m (No. 10)
Asymmetric unit:
Ca1 0.0000 0.0000 0.0000
La1 0.0000 0.5000 0.5000
La2 0.5000 0.0000 0.5000
Th1 0.5000 0.5000 0.0000
As1 0.2548 0.5000 0.2458
As2 0.2560 0.0000 0.7578

Below is crystalline PaCdCoNi at its relaxed geometry, with properties calculated at the GGA-PBE level.

Cell: 6.5034 6.5034 6.5034 Å, 90.00 90.00 90.00°
Space group F-43m (No. 216)
Asymmetric unit:
Pa1 0.0000 0.0000 0.0000
Cd1 0.0000 0.0000 0.5000
Co1 0.2500 0.2500 0.7500
Ni1 0.2500 0.2500 0.2500

Result set for theoretical density: 14.73, 3.83, 6.16, 11.13 Mg/m³, one per record in the order listed.
Result set for energy of formation: -1.2, -2.7, -11.6, -0.3 eV/f.u., one per record in the order listed.